No. 1
The following is a PBE calculation of a relaxed structure of PuCdB2O8, from the Alexandria database.

Energy relative to the elements, uncorrected, eV/atom: -1.86
Density, g cm⁻³: 5.4
Total magnetization, μB/cell: 2.03
Fermi-level density of states, states/eV/f.u.: 2.716
Total energy, eV/atom: -7.55

Cell: 4.929 4.929 7.121 Å, 97.30 97.30 65.84°
Each line ends with the local moment (μB).
Positions (direct):
O 0.305 0.756 0.233  0.01
O 0.788 0.788 0.011  -0.06
O 0.695 0.244 0.767  0.01
O 0.272 0.272 0.557  0.32
O 0.756 0.305 0.233  0.01
O 0.728 0.728 0.443  0.32
O 0.244 0.695 0.767  0.01
O 0.212 0.212 0.989  -0.06
B 0.601 0.601 0.297  -0.01
B 0.399 0.399 0.703  -0.01
Cd 0.000 0.000 0.500  0.00
Pu 0.000 0.000 0.000  1.37


No. 2
The following is a PBE calculation of a relaxed structure of V2TeRuW, from the Alexandria database.

Energy relative to the elements, uncorrected, eV/atom: 1.20
Density, g cm⁻³: 8.5
Total magnetization, μB/cell: 0.00
Fermi-level density of states, states/eV/f.u.: 9.132
Total energy, eV/atom: -7.52

Cell: 4.580 4.797 4.580 Å, 90.00 90.00 90.00°
Positions (direct):
W 0.000 0.500 0.000
V 0.000 0.000 0.500
V 0.500 0.000 0.000
Te 0.500 0.500 0.500
Ru 0.000 0.000 0.000


No. 3
The following is a PBE calculation of a relaxed structure of DyP3Rh5, from the Alexandria database.

Density, g cm⁻³: 9.0
Total magnetization, μB/cell: 0.00
ΔE_f, kcal/mol of atoms: -18.42
Fermi-level density of states, states/eV/f.u.: 4.519
Total energy, eV/atom: -7.20

Cell: 3.866 6.334 12.205 Å, 90.00 90.00 107.77°
Positions (direct):
Rh 0.559 0.118 0.858
Rh 0.000 0.000 0.000
Rh 0.559 0.118 0.642
Rh 0.789 0.577 0.080
Rh 0.789 0.577 0.420
Rh 0.000 0.000 0.500
Rh 0.441 0.882 0.142
Rh 0.441 0.882 0.358
Rh 0.211 0.423 0.920
Rh 0.211 0.423 0.580
P 0.390 0.780 0.546
P 0.610 0.220 0.046
P 0.884 0.768 0.250
P 0.390 0.780 0.954
P 0.116 0.232 0.750
P 0.610 0.220 0.454
Dy 0.142 0.284 0.250
Dy 0.858 0.716 0.750


No. 4
The following is a PBE calculation of a relaxed structure of ScSiRu2, from the Alexandria database.

Energy relative to the elements, uncorrected, eV/atom: -0.03
Density, g cm⁻³: 7.1
Total magnetization, μB/cell: 0.00
Fermi-level density of states, states/eV/f.u.: 3.877
Total energy, eV/atom: -7.61

Cell: 8.420 8.420 8.420 Å, 20.49 20.49 20.49°
Positions (direct):
Ru 0.006 0.006 0.006
Ru 0.250 0.250 0.250
Sc 0.503 0.503 0.503
Si 0.740 0.740 0.740


No. 5
The following is a PBE calculation of a relaxed structure of TiBe2Cu2, from the Alexandria database.

Density, g cm⁻³: 5.6
Total magnetization, μB/cell: 0.00
ΔE_f, kcal/mol of atoms: -1.35
ΔE to the lowest computed polymorph, meV per atom: 25
Fermi-level density of states, states/eV/f.u.: 2.869
Total energy, eV/atom: -4.77

Cell: 6.825 6.825 2.435 Å, 90.00 90.00 90.00°
Positions (direct):
Cu 0.371 0.871 0.000
Cu 0.129 0.371 0.000
Cu 0.629 0.129 0.000
Cu 0.871 0.629 0.000
Be 0.668 0.832 0.500
Be 0.832 0.332 0.500
Be 0.168 0.668 0.500
Be 0.332 0.168 0.500
Ti 0.500 0.500 0.000
Ti 0.000 0.000 0.000


No. 6
The following is a PBE calculation of a relaxed structure of SrNiIr, from the Alexandria database.

Density, g cm⁻³: 10.2
Total magnetization, μB/cell: 0.00
ΔE_f, kcal/mol of atoms: -4.03
ΔE to the lowest computed polymorph, meV per atom: 0
Fermi-level density of states, states/eV/f.u.: 2.358
Total energy, eV/atom: -5.62

Cell: 5.386 5.386 5.386 Å, 89.41 119.49 121.21°
Positions (direct):
Ir 0.500 0.000 0.500
Ir 0.000 0.500 0.500
Sr 0.750 0.877 0.127
Sr 0.250 0.123 0.873
Ni 0.500 0.500 0.500
Ni 0.000 0.500 0.000


No. 7
The following is a PBE calculation of a relaxed structure of IrOs3, from the Alexandria database.

Density, g cm⁻³: 22.1
Total magnetization, μB/cell: 0.00
ΔE_f, kcal/mol of atoms: 0.10
Fermi-level density of states, states/eV/f.u.: 3.150
Total energy, eV/atom: -10.63

Cell: 2.753 2.753 8.749 Å, 90.00 90.00 120.00°
Positions (direct):
Ir 0.000 0.000 0.000
Os 0.333 0.667 0.255
Os 0.000 0.000 0.500
Os 0.333 0.667 0.745


No. 8
The following is a PBE calculation of a relaxed structure of Sn2Pb2S, from the Alexandria database.

Energy relative to the elements, uncorrected, eV/atom: 0.11
Density, g cm⁻³: 7.5
Total magnetization, μB/cell: 0.00
ΔE to the lowest computed polymorph, meV per atom: 33
Fermi-level density of states, states/eV/f.u.: 3.349
Total energy, eV/atom: -3.80

Cell: 8.061 8.061 4.664 Å, 90.00 90.00 90.00°
Positions (direct):
Sn 0.626 0.874 0.500
Sn 0.874 0.374 0.500
Sn 0.374 0.126 0.500
Sn 0.126 0.626 0.500
Pb 0.184 0.316 0.000
Pb 0.816 0.684 0.000
Pb 0.684 0.184 0.000
Pb 0.316 0.816 0.000
S 0.500 0.500 0.000
S 0.000 0.000 0.000